[1]
The following is a DFT calculation (PBE-GGA) of an optimized crystal structure of ZrPt2Cl.

Structure (CIF):
```
data_ZrPt2Cl
_symmetry_space_group_name_H-M 'P 1 m 1'
_symmetry_Int_Tables_number 6
_symmetry_space_group_name_Hall 'P -2y'
_cell_length_a 3.694
_cell_length_b 3.247
_cell_length_c 7.703
_cell_angle_alpha 90.00
_cell_angle_beta 90.34
_cell_angle_gamma 90.00
loop_
_atom_site_label
_atom_site_type_symbol
_atom_site_fract_x
_atom_site_fract_y
_atom_site_fract_z
Zr1 Zr 0.000 0.000 0.000
Pt1 Pt 0.498 0.500 0.836
Pt2 Pt 0.996 0.000 0.658
Cl1 Cl 0.004 0.500 0.262
```

Excess energy over the best structure of this formula in the dataset   0.0 meV per atom
DFT total energy   -6.281 eV per atom
Magnetization   0.000 μB per atom
Energy relative to the elements, uncorrected   -2.6 eV per formula unit



[2]
The following is a DFT calculation (PBE-GGA) of an optimized crystal structure of CeNdPt.

Structure (CIF):
```
data_CeNdPt
_symmetry_space_group_name_H-M 'P 3 m 1'
_symmetry_Int_Tables_number 156
_symmetry_space_group_name_Hall 'P 3 -2"'
_cell_length_a 4.6992
_cell_length_b 4.6992
_cell_length_c 3.9480
_cell_angle_alpha 90.00
_cell_angle_beta 90.00
_cell_angle_gamma 120.00
loop_
_atom_site_label
_atom_site_type_symbol
_atom_site_fract_x
_atom_site_fract_y
_atom_site_fract_z
Ce1 Ce 0.0000 0.0000 0.0000
Nd1 Nd 0.3333 0.6667 0.3844
Pt1 Pt 0.6667 0.3333 0.7141
```

Excess energy over the best structure of this formula in the dataset   185.5 meV per atom
DFT total energy   -6.134 eV per atom
Magnetization   0.066 μB per atom
Formation energy from the elements   -0.553 eV per atom



[3]
The following is a DFT calculation (PBE-GGA) of an optimized crystal structure of La6NdIn5.

Structure (CIF):
```
data_La6NdIn5
_symmetry_space_group_name_H-M 'C m m m'
_symmetry_Int_Tables_number 65
_symmetry_space_group_name_Hall '-C 2 2'
_cell_length_a 5.667
_cell_length_b 17.285
_cell_length_c 7.788
_cell_angle_alpha 90.00
_cell_angle_beta 90.00
_cell_angle_gamma 90.00
loop_
_atom_site_label
_atom_site_type_symbol
_atom_site_fract_x
_atom_site_fract_y
_atom_site_fract_z
La1 La 0.000 0.000 0.228
La2 La 0.000 0.326 0.251
Nd1 Nd 0.000 0.500 0.500
In1 In 0.000 0.150 0.500
In2 In 0.000 0.167 0.000
In3 In 0.000 0.500 0.000
```

DFT total energy   -4.401 eV per atom
Magnetization   0.206 μB per atom
Formation energy from the elements   -0.399 eV per atom



[4]
The following is a DFT calculation (PBE-GGA) of an optimized crystal structure of Na5Sm3Cl12.

Structure (CIF):
```
data_Na5Sm3Cl12
_symmetry_space_group_name_H-M 'I a -3 d'
_symmetry_Int_Tables_number 230
_symmetry_space_group_name_Hall '-I 4bd 2c 3'
_cell_length_a 16.191
_cell_length_b 16.191
_cell_length_c 16.191
_cell_angle_alpha 90.00
_cell_angle_beta 90.00
_cell_angle_gamma 90.00
loop_
_atom_site_label
_atom_site_type_symbol
_atom_site_fract_x
_atom_site_fract_y
_atom_site_fract_z
Na1 Na 0.000 0.000 0.000
Na2 Na 0.000 0.250 0.375
Sm1 Sm 0.000 0.250 0.125
Cl1 Cl 0.020 0.071 0.654
```

DFT total energy   -3.952 eV per atom
Magnetization   0.102 μB per atom
Energy relative to the elements, uncorrected   -36.1 eV per formula unit